Density functional theory data (GGA-PBEsol) for a relaxed K2MgHg crystal. Values from VASP.

Results
ρ = 3.232 g/cm³
Space-group type = P4mm, No. 99
Formation energy from the elements = -73 meV/atom

Quantum ESPRESSO input file:
```
&SYSTEM
  ibrav = 0, nat = 4, ntyp = 3
/
ATOMIC_SPECIES
Hg 200.59 Hg.upf
K 39.10 K.upf
Mg 24.30 Mg.upf
ATOMIC_POSITIONS angstrom
Hg -1.815 -2.172 6.795
K -2.309 -0.962 3.408
K 1.268 -3.103 8.687
Mg 0.803 -1.965 5.501
CELL_PARAMETERS angstrom
-2.505 2.718 1.336
-2.981 -2.519 -0.465
1.373 -3.360 9.407
```